Here is a geometry-optimized Nd3SbPCl structure from Alexandria via LeMat-Bulk. Energies are from PBE.

Summary:
Energy relative to the elements, uncorrected = -1.31 eV/atom
Electronic total energy = -5.59 eV per atom
DOS at the Fermi energy = 3.0 states/eV/f.u.
Symmetry = P2_1/m, No. 11
Calculated volume = 28.84 A^3/atom
Crystal system = monoclinic

Unit cell a=4.326 b=8.577 c=9.588 alpha=103.37 beta=90.00 gamma=90.00
Each line ends with the local moment (μB).
Sites, in units of the cell vectors:
P (0.750, 0.338, 0.843)  0.00
Cl (0.750, 0.897, 0.419)  0.01
Nd (0.250, 0.110, 0.870)  -0.01
Nd (0.750, 0.280, 0.515)  0.22
Nd (0.250, 0.720, 0.485)  0.22
Sb (0.750, 0.814, 0.773)  0.00
P (0.250, 0.662, 0.157)  0.00
Sb (0.250, 0.186, 0.227)  0.00
Nd (0.750, 0.431, 0.148)  0.05
Nd (0.250, 0.569, 0.852)  0.05
Nd (0.750, 0.890, 0.130)  -0.01
Cl (0.250, 0.103, 0.581)  0.01